The following is a DFT calculation (PBE) of a geometry-optimized Pr6TlGe2Te3 structure.

Calculated values
Density of states at the Fermi level, states/eV/atom: 0.5382
Magnetization, μB per formula unit: 0.000
VASP energy, eV per atom: -5.24
Formation energy from raw total energies, meV/atom: -1094

```
Pr6TlGe2Te3
1.0
-3.703 0.503 -2.382
-0.346 -8.987 -1.361
-3.263 1.172 9.443
Pr Te Ge Tl
6 3 2 1
Direct
0.007 0.258 0.014
0.669 0.103 0.338
0.331 0.897 0.662
0.993 0.742 0.986
0.327 0.432 0.655
0.673 0.568 0.345
0.835 0.168 0.671
0.165 0.832 0.329
0.500 0.500 0.000
0.833 0.667 0.666
0.167 0.333 0.334
0.500 0.000 0.000
```